Entry from the Alexandria database: a relaxed structure of NaV2RuO8 (PBE with a Hubbard U).

Unit cell a=5.626 b=5.626 c=6.478 alpha=90.00 beta=90.00 gamma=120.00
Element x y z (fractional)
O  0.841  0.682  0.180
Na  0.000  0.000  0.500
O  0.841  0.159  0.180
O  0.682  0.841  0.820
O  0.667  0.333  0.516
V  0.333  0.667  0.738
Ru  0.000  0.000  0.000
O  0.159  0.318  0.820
O  0.159  0.841  0.820
V  0.667  0.333  0.262
O  0.333  0.667  0.484
O  0.318  0.159  0.180

Results
total energy: -83.4 eV/cell